An optimized crystal structure of GaGe2Rh, computed with PBE.

abc: 3.084 3.084 8.878
angles: 80.00 80.00 60.00
Sites, in units of the cell vectors:
Ge: 0.903 0.903 0.291
Ga: 0.000 0.000 0.000
Ge: 0.097 0.097 0.709
Rh: 0.500 0.500 0.500

Computed properties:
Crystal system: trigonal
Total magnetic moment (μB/f.u.): 0.0
Calculated formation energy (eV/atom): -0.117

=====

An optimized crystal structure of RbLiCd2Au, computed with PBE.

abc: 5.422 5.422 5.226
angles: 90.00 90.00 90.00
Sites, in units of the cell vectors:
Au: 0.000 0.000 0.000
Cd: 0.000 0.500 0.000
Rb: 0.500 0.500 0.500
Li: 0.000 0.000 0.500
Cd: 0.500 0.000 0.000

Computed properties:
Crystal system: tetragonal
Total magnetic moment (μB/f.u.): 0.0
Calculated formation energy (eV/atom): -0.156

=====

An optimized crystal structure of LiWAu, computed with PBE.

abc: 4.241 4.241 4.241
angles: 60.00 60.00 60.00
Sites, in units of the cell vectors:
Li: 0.000 0.000 0.000
Au: 0.750 0.750 0.750
W: 0.500 0.500 0.500

Computed properties:
Crystal system: cubic
Total magnetic moment (μB/f.u.): 0.0
Energy above the lowest structure with this stoichiometry (meV/atom): 612
Calculated formation energy (eV/atom): 0.764

=====

An optimized crystal structure of Ca3H, computed with PBE.

abc: 7.173 7.173 7.178
angles: 119.98 119.98 90.00
Sites, in units of the cell vectors:
Ca: 0.375 0.625 0.250
Ca: 0.750 0.250 0.500
H: 0.250 0.750 0.500
Ca: 0.375 0.125 0.750
Ca: 0.875 0.625 0.250
Ca: 0.000 0.000 0.000
H: 0.500 0.500 0.000
Ca: 0.375 0.625 0.750

Computed properties:
Crystal system: cubic
Total magnetic moment (μB/f.u.): 0.0
Energy above the lowest structure with this stoichiometry (meV/atom): 0

=====

An optimized crystal structure of Ce6OsPb, computed with PBE.

abc: 6.275 6.275 6.316
angles: 101.66 101.66 101.62
Each line ends with the local moment (μB).
Sites, in units of the cell vectors:
Ce: 0.819 0.413 0.812  0.55
Ce: 0.587 0.181 0.188  0.55
Ce: 0.185 0.185 0.591  0.53
Ce: 0.815 0.815 0.409  0.53
Pb: 0.000 0.000 0.000  -0.02
Os: 0.500 0.500 0.500  -0.06
Ce: 0.413 0.819 0.812  0.55
Ce: 0.181 0.587 0.188  0.55

Computed properties:
Crystal system: monoclinic
Total magnetic moment (μB/f.u.): 3.9
Calculated formation energy (eV/atom): -0.073

=====

An optimized crystal structure of LiHf3N4, computed with PBE.

abc: 4.475 4.475 5.496
angles: 114.02 114.02 90.00
Sites, in units of the cell vectors:
N: 0.500 0.000 0.000
Li: 0.000 0.000 0.000
N: 0.000 0.500 0.000
N: 0.258 0.258 0.517
Hf: 0.750 0.250 0.500
Hf: 0.500 0.500 0.000
N: 0.742 0.742 0.483
Hf: 0.250 0.750 0.500

Computed properties:
Crystal system: tetragonal
Total magnetic moment (μB/f.u.): 0.0
Energy relative to the elements, uncorrected (kcal/mol of atoms): -37.83

=====

An optimized crystal structure of Mo2W2Cl7, computed with PBE.

abc: 6.897 6.897 18.404
angles: 123.07 123.07 85.57
Each line ends with the local moment (μB).
Sites, in units of the cell vectors:
Mo: 0.420 0.635 0.455  0.78
Cl: 0.876 0.209 0.866  0.00
Cl: 0.184 0.753 0.945  0.00
Mo: 0.365 0.580 0.045  0.78
Cl: 0.124 0.791 0.134  0.00
Cl: 0.247 0.816 0.555  0.00
Cl: 0.753 0.184 0.445  0.00
W: 0.197 0.331 0.853  -0.34
Cl: 0.209 0.876 0.366  0.00
W: 0.669 0.803 0.647  -0.34
Cl: 0.791 0.124 0.634  0.00
Cl: 0.478 0.413 0.315  0.01
Cl: 0.888 0.112 0.250  -0.01
W: 0.331 0.197 0.353  -0.34
Cl: 0.413 0.478 0.815  0.01
Mo: 0.635 0.420 0.955  0.78
Mo: 0.580 0.365 0.545  0.78
Cl: 0.587 0.522 0.185  0.01
Cl: 0.816 0.247 0.055  0.00
Cl: 0.522 0.587 0.685  0.01
Cl: 0.112 0.888 0.750  -0.01
W: 0.803 0.669 0.147  -0.34

Computed properties:
Crystal system: monoclinic
Total magnetic moment (μB/f.u.): 1.0
Energy relative to the elements, uncorrected (kcal/mol of atoms): -9.51

=====

An optimized crystal structure of ZnBi6Pb12, computed with PBE.

abc: 8.606 8.606 8.606
angles: 77.24 77.24 77.24
Sites, in units of the cell vectors:
Pb: 0.523 0.868 0.868
Bi: 0.779 0.150 0.778
Bi: 0.222 0.221 0.850
Bi: 0.221 0.850 0.222
Pb: 0.480 0.807 0.481
Pb: 0.477 0.132 0.132
Bi: 0.850 0.222 0.221
Pb: 0.868 0.523 0.868
Pb: 0.481 0.480 0.807
Pb: 0.132 0.132 0.477
Pb: 0.519 0.520 0.193
Pb: 0.193 0.519 0.520
Zn: 0.000 0.000 0.000
Bi: 0.778 0.779 0.150
Pb: 0.807 0.481 0.480
Pb: 0.868 0.868 0.523
Bi: 0.150 0.778 0.779
Pb: 0.132 0.477 0.132
Pb: 0.520 0.193 0.519

Computed properties:
Crystal system: trigonal
Total magnetic moment (μB/f.u.): 0.0
Calculated formation energy (eV/atom): 0.043

=====

An optimized crystal structure of NaCu2S2, computed with PBE.

abc: 3.784 9.379 9.762
angles: 90.00 90.00 90.00
Sites, in units of the cell vectors:
Na: 0.750 0.243 0.321
S: 0.250 0.836 0.965
Cu: 0.250 0.046 0.105
S: 0.750 0.019 0.668
Na: 0.250 0.757 0.679
S: 0.250 0.336 0.535
Na: 0.750 0.743 0.179
Cu: 0.750 0.954 0.895
Cu: 0.750 0.454 0.605
Cu: 0.250 0.590 0.948
Na: 0.250 0.257 0.821
S: 0.750 0.519 0.832
S: 0.750 0.164 0.035
S: 0.250 0.481 0.168
S: 0.250 0.981 0.332
Cu: 0.250 0.090 0.552
S: 0.750 0.664 0.465
Cu: 0.750 0.410 0.052
Cu: 0.250 0.546 0.395
Cu: 0.750 0.910 0.448

Computed properties:
Crystal system: orthorhombic
Total magnetic moment (μB/f.u.): 0.0
Energy relative to the elements, uncorrected (kcal/mol of atoms): -11.63

=====

An optimized crystal structure of PuNpPaAu, computed with PBE.

abc: 5.027 5.027 5.027
angles: 60.00 60.00 60.00
Each line ends with the local moment (μB).
Sites, in units of the cell vectors:
Np: 0.250 0.250 0.250  3.75
Pa: 0.000 0.000 0.000  0.72
Pu: 0.500 0.500 0.500  5.13
Au: 0.750 0.750 0.750  0.02

Computed properties:
Crystal system: cubic
Total magnetic moment (μB/f.u.): 10.0
Calculated formation energy (eV/atom): 0.112

=====

An optimized crystal structure of Nd4HoCo4, computed with PBE.

abc: 5.793 8.524 8.524
angles: 90.00 90.00 90.00
Sites, in units of the cell vectors:
Nd: 0.879 0.427 0.196
Co: 0.146 0.864 0.741
Nd: 0.121 0.196 0.573
Ho: 0.500 0.500 0.500
Co: 0.854 0.259 0.864
Nd: 0.621 0.927 0.696
Nd: 0.379 0.304 0.927
Co: 0.354 0.636 0.759
Co: 0.646 0.759 0.364
Nd: 0.121 0.804 0.427
Nd: 0.621 0.073 0.304
Ho: 0.000 0.000 0.000
Co: 0.354 0.364 0.241
Nd: 0.879 0.573 0.804
Co: 0.646 0.241 0.636
Co: 0.854 0.741 0.136
Nd: 0.379 0.696 0.073
Co: 0.146 0.136 0.259

Computed properties:
Crystal system: tetragonal
Total magnetic moment (μB/f.u.): 0.0
Calculated formation energy (eV/atom): 0.020

=====

An optimized crystal structure of LaTcRu, computed with PBE.

abc: 4.636 4.636 2.963
angles: 90.00 90.00 120.00
Sites, in units of the cell vectors:
La: 0.000 0.000 0.986
Tc: 0.667 0.333 0.711
Ru: 0.333 0.667 0.302

Computed properties:
Crystal system: trigonal
Total magnetic moment (μB/f.u.): 0.0
Energy above the lowest structure with this stoichiometry (meV/atom): 580
Calculated formation energy (eV/atom): 0.514

=====

An optimized crystal structure of CrPt2Cl, computed with PBE.

abc: 4.516 4.516 4.516
angles: 60.00 60.00 60.00
Each line ends with the local moment (μB).
Sites, in units of the cell vectors:
Pt: 0.250 0.250 0.250  -0.17
Pt: 0.000 0.000 0.000  -0.29
Cr: 0.750 0.750 0.750  3.25
Cl: 0.500 0.500 0.500  -0.03

Computed properties:
Crystal system: cubic
Total magnetic moment (μB/f.u.): 3.1
Energy above the lowest structure with this stoichiometry (meV/atom): 434
Energy relative to the elements, uncorrected (kcal/mol of atoms): 9.57

=====

An optimized crystal structure of Na2TiNb2Te6, computed with PBE.

abc: 6.732 6.732 8.286
angles: 96.21 96.21 120.31
Sites, in units of the cell vectors:
Te: 0.390 0.042 0.696
Nb: 0.627 0.373 0.500
Te: 0.042 0.390 0.696
Te: 0.958 0.610 0.304
Na: 0.814 0.186 0.000
Na: 0.186 0.814 0.000
Te: 0.751 0.751 0.743
Te: 0.249 0.249 0.257
Nb: 0.373 0.627 0.500
Te: 0.610 0.958 0.304
Ti: 0.000 0.000 0.500

Computed properties:
Crystal system: monoclinic
Total magnetic moment (μB/f.u.): 0.0
Energy relative to the elements, uncorrected (kcal/mol of atoms): -14.10

=====

An optimized crystal structure of Pm5ScTe6, computed with PBE.

abc: 7.653 7.653 7.662
angles: 99.54 99.54 120.11
Sites, in units of the cell vectors:
Pm: 0.821 0.179 0.500
Pm: 0.334 0.666 0.000
Te: 0.233 0.233 0.750
Pm: 0.500 0.500 0.500
Te: 0.604 0.922 0.762
Te: 0.078 0.396 0.238
Te: 0.396 0.078 0.238
Te: 0.767 0.767 0.250
Pm: 0.179 0.821 0.500
Te: 0.922 0.604 0.762
Sc: 0.000 0.000 0.000
Pm: 0.666 0.334 0.000

Computed properties:
Crystal system: monoclinic
Total magnetic moment (μB/f.u.): 0.0
Energy relative to the elements, uncorrected (kcal/mol of atoms): -31.13

=====

An optimized crystal structure of Mg4GaSi, computed with PBE.

abc: 4.937 4.937 8.170
angles: 107.59 107.59 90.00
Sites, in units of the cell vectors:
Mg: 0.312 0.312 0.625
Mg: 0.437 0.937 0.875
Mg: 0.688 0.688 0.375
Si: 0.250 0.750 0.500
Ga: 0.500 0.500 0.000
Mg: 0.063 0.563 0.125

Computed properties:
Crystal system: tetragonal
Total magnetic moment (μB/f.u.): 0.0
Energy relative to the elements, uncorrected (kcal/mol of atoms): 4.40

=====

An optimized crystal structure of TmCuNi4Sn2, computed with PBE.

abc: 4.368 4.368 7.797
angles: 73.73 73.73 60.00
Sites, in units of the cell vectors:
Ni: 0.873 0.873 0.381
Cu: 0.500 0.500 0.500
Sn: 0.246 0.246 0.262
Sn: 0.754 0.754 0.738
Ni: 0.610 0.610 0.169
Ni: 0.390 0.390 0.831
Tm: 0.000 0.000 0.000
Ni: 0.127 0.127 0.619

Computed properties:
Crystal system: trigonal
Total magnetic moment (μB/f.u.): 0.0
Calculated formation energy (eV/atom): -0.283

=====

An optimized crystal structure of Li3Ga8Pd, computed with PBE.

abc: 6.845 6.845 6.845
angles: 98.26 115.35 115.35
Sites, in units of the cell vectors:
Ga: 0.000 0.246 0.743
Ga: 0.249 0.380 0.380
Ga: 0.498 0.754 0.754
Ga: 0.000 0.620 0.869
Ga: 0.000 0.743 0.246
Pd: 0.000 0.000 0.000
Li: 0.500 0.250 0.750
Li: 0.000 0.500 0.500
Li: 0.500 0.750 0.250
Ga: 0.000 0.869 0.620
Ga: 0.751 0.131 0.131
Ga: 0.502 0.257 0.257

Computed properties:
Crystal system: tetragonal
Total magnetic moment (μB/f.u.): 0.0
Calculated formation energy (eV/atom): -0.056

=====

An optimized crystal structure of Tb7Ho2Sc3, computed with PBE.

abc: 3.520 5.683 18.553
angles: 98.81 90.00 90.00
Each line ends with the local moment (μB).
Sites, in units of the cell vectors:
Tb: 0.000 0.429 0.857  0.01
Ho: 0.000 0.176 0.352  0.17
Tb: 0.000 0.000 0.000  -0.02
Tb: 0.500 0.909 0.817  0.06
Tb: 0.000 0.729 0.457  0.17
Sc: 0.500 0.500 0.000  -0.01
Sc: 0.500 0.650 0.299  0.08
Tb: 0.000 0.271 0.543  0.17
Ho: 0.000 0.824 0.648  0.17
Sc: 0.500 0.350 0.701  0.08
Tb: 0.500 0.091 0.183  0.06
Tb: 0.000 0.571 0.143  0.01

Computed properties:
Crystal system: orthorhombic
Total magnetic moment (μB/f.u.): 1.3
Calculated formation energy (eV/atom): 0.153

=====

An optimized crystal structure of K3Tb3VSe8, computed with PBE.

abc: 8.162 8.161 9.174
angles: 116.41 90.00 120.00
Each line ends with the local moment (μB).
Sites, in units of the cell vectors:
Se: 0.215 0.975 0.690  -0.04
Se: 0.736 0.472 0.708  -0.01
Se: 0.215 0.430 0.690  -0.04
Se: 0.264 0.528 0.292  -0.01
K: 0.500 0.500 0.000  0.00
K: 0.000 0.000 0.000  0.00
Se: 0.760 0.975 0.690  -0.04
Tb: 0.500 0.500 0.500  0.00
K: 0.000 0.500 0.000  0.00
V: 0.000 0.000 0.500  1.24
Se: 0.785 0.570 0.310  -0.04
Tb: 0.000 0.500 0.500  0.00
Tb: 0.500 0.000 0.500  0.00
Se: 0.785 0.025 0.310  -0.04
Se: 0.240 0.025 0.310  -0.04

Computed properties:
Crystal system: trigonal
Total magnetic moment (μB/f.u.): 1.0
Energy relative to the elements, uncorrected (kcal/mol of atoms): -33.92

=====

An optimized crystal structure of AlAg2Rh, computed with PBE.

abc: 9.252 9.252 9.252
angles: 17.79 17.79 17.79
Each line ends with the local moment (μB).
Sites, in units of the cell vectors:
Ag: 0.502 0.502 0.502  0.01
Ag: 0.998 0.998 0.998  0.01
Al: 0.250 0.250 0.250  0.01
Rh: 0.750 0.750 0.750  0.47

Computed properties:
Crystal system: trigonal
Total magnetic moment (μB/f.u.): 0.5
Calculated formation energy (eV/atom): 0.136

=====

An optimized crystal structure of LaZnGe2Ir, computed with PBE.

abc: 4.215 4.215 6.196
angles: 109.88 109.88 90.00
Sites, in units of the cell vectors:
La: 0.000 0.000 0.000
Zn: 0.250 0.750 0.500
Ge: 0.380 0.380 0.760
Ir: 0.750 0.250 0.500
Ge: 0.620 0.620 0.240

Computed properties:
Crystal system: tetragonal
Total magnetic moment (μB/f.u.): 0.0
Calculated formation energy (eV/atom): -0.595